[1]
A plane-wave DFT calculation with GGA-PBE was carried out for crystalline Tb3PrNd6Er2 at its relaxed geometry.

Computed properties:
The value obtained for the calculated total energy is -56.24 eV for the cell shown. As for the space group: No. 12. The calculation puts the volume at 403.4 Å³/cell. The calculated formation energy comes out at 0.013 eV per atom. As for the total magnetic moment: 0.00 μB/cell.

Cell: 6.291 6.291 11.951 Å, 95.03 95.03 119.99°
Fractional positions:
Tb 0.000 0.000 0.000
Tb 0.333 0.667 0.000
Tb 0.667 0.333 0.000
Pr 0.500 0.500 0.500
Nd 0.081 0.416 0.249
Nd 0.250 0.250 0.751
Nd 0.416 0.081 0.249
Nd 0.584 0.919 0.751
Nd 0.750 0.750 0.249
Nd 0.919 0.584 0.751
Er 0.167 0.833 0.500
Er 0.833 0.167 0.500

---

[2]
A plane-wave DFT calculation with GGA-PBE was carried out for crystalline HoAgSnRu at its relaxed geometry.

Computed properties:
The value obtained for the calculated total energy is -21.70 eV for the cell shown. As for the space group: No. 216. The calculation puts the volume at 78.1 Å³/cell. The calculated formation energy comes out at -0.248 eV per atom. As for the total magnetic moment: 0.00 μB/cell.

Cell: 4.798 4.798 4.798 Å, 60.00 60.00 60.00°
Fractional positions:
Ho 0.000 0.000 0.000
Ag 0.250 0.250 0.250
Sn 0.500 0.500 0.500
Ru 0.750 0.750 0.750

---

[3]
A plane-wave DFT calculation with GGA-PBE was carried out for crystalline Ta2MnIn at its relaxed geometry.

Computed properties:
The value obtained for the calculated total energy is -34.61 eV for the cell shown. As for the space group: No. 12. The calculation puts the volume at 71.0 Å³/cell. The calculated formation energy comes out at 0.250 eV per atom. As for the total magnetic moment: 2.54 μB/cell.

Cell: 5.217 5.217 2.887 Å, 94.16 94.16 114.21°
Fractional positions:
Ta 0.000 0.500 0.000
Ta 0.500 0.000 0.000
Mn 0.000 0.000 0.500
In 0.500 0.500 0.500